1.
SnSb2RhI meta-GGA SCAN PBEsol geometry; ΔE_f (raw) = 1.338 eV per atom
1.0
-5.011 -1.991 -1.071
-0.199 -2.206 5.032
-2.308 4.740 1.987
Sb Rh Sn I
2 1 1 1
Direct
0.000 0.500 0.000 Sb
0.500 0.000 0.000 Sb
0.500 0.500 0.500 Rh
0.000 0.000 0.000 Sn
0.000 0.000 0.500 I

---

2.
BeInSeF2 meta-GGA SCAN PBEsol geometry; ΔE_f (raw) = -0.808 eV per atom
1.0
3.990 0.000 0.000
0.000 3.990 0.000
0.000 0.000 5.921
Be F Se In
1 2 1 1
Direct
0.000 0.000 0.500 Be
0.500 0.000 0.000 F
0.000 0.500 0.000 F
0.500 0.500 0.500 Se
0.000 0.000 0.000 In

---

3.
CaLaY2 meta-GGA SCAN PBEsol geometry; offset from the most stable computed form = 0.0390 eV/atom; energy of formation = 0.110 eV/atom
1.0
-0.248 -3.575 0.061
3.682 -0.342 -5.063
4.298 1.571 4.288
La Y Ca
1 2 1
Direct
0.500 0.000 0.000 La
0.245 0.239 0.490 Y
0.755 0.761 0.510 Y
0.000 0.500 0.000 Ca

---

4.
BeNi2H meta-GGA SCAN PBEsol geometry; E_tot = -39.6 eV/cell
1.0
-1.561 2.966 1.119
-1.776 0.018 3.055
1.300 1.736 2.789
Ni H Be
2 1 1
Direct
0.250 0.250 0.250 Ni
0.750 0.750 0.750 Ni
0.000 0.000 0.000 H
0.500 0.500 0.500 Be